[1]
Here is an optimized crystal structure of EuMg16Al12 from Alexandria. Energies are from GGA-PBE.

Cell: 9.164 9.164 9.164 Å, 109.47 109.47 109.47°
Element x y z (fractional)
Eu: 0.000 0.000 0.000
Mg: 0.000 0.000 0.360
Mg: 0.000 0.319 0.603
Mg: 0.000 0.360 0.000
Mg: 0.000 0.603 0.319
Mg: 0.284 0.681 0.681
Mg: 0.319 0.000 0.603
Mg: 0.319 0.603 0.000
Mg: 0.360 0.000 0.000
Mg: 0.397 0.397 0.716
Mg: 0.397 0.716 0.397
Mg: 0.603 0.000 0.319
Mg: 0.603 0.319 0.000
Mg: 0.640 0.640 0.640
Mg: 0.681 0.284 0.681
Mg: 0.681 0.681 0.284
Mg: 0.716 0.397 0.397
Al: 0.000 0.629 0.813
Al: 0.000 0.813 0.629
Al: 0.184 0.371 0.371
Al: 0.187 0.187 0.816
Al: 0.187 0.816 0.187
Al: 0.371 0.184 0.371
Al: 0.371 0.371 0.184
Al: 0.629 0.000 0.813
Al: 0.629 0.813 0.000
Al: 0.813 0.000 0.629
Al: 0.813 0.629 0.000
Al: 0.816 0.187 0.187

Summary:
- VASP energy: -2.85 eV per atom

=====

[2]
Here is an optimized crystal structure of Na3Cd5In3 from Alexandria. Energies are from GGA-PBE.

Cell: 9.314 9.314 4.648 Å, 90.00 90.00 120.00°
Element x y z (fractional)
Na: 0.000 0.417 0.000
Na: 0.417 0.000 0.000
Na: 0.583 0.583 0.000
Cd: 0.000 0.634 0.500
Cd: 0.333 0.667 0.500
Cd: 0.366 0.366 0.500
Cd: 0.634 0.000 0.500
Cd: 0.667 0.333 0.500
In: 0.000 0.190 0.500
In: 0.190 0.000 0.500
In: 0.810 0.810 0.500

Summary:
- VASP energy: -1.40 eV per atom

=====

[3]
Here is an optimized crystal structure of LaMgMo2 from Alexandria. Energies are from GGA-PBE.

Cell: 10.732 10.732 10.732 Å, 15.75 15.75 15.75°
Element x y z (fractional)
La: 0.000 0.000 0.000
Mg: 0.500 0.500 0.500
Mo: 0.243 0.243 0.243
Mo: 0.757 0.757 0.757

Summary:
- VASP energy: -6.27 eV per atom

=====

[4]
Here is an optimized crystal structure of HfNiHg from Alexandria. Energies are from GGA-PBE.

Cell: 8.383 8.383 4.042 Å, 90.00 90.00 157.51°
Element x y z (fractional)
Hf: 0.084 0.916 0.750
Hf: 0.916 0.084 0.250
Ni: 0.456 0.544 0.750
Ni: 0.544 0.456 0.250
Hg: 0.298 0.702 0.750
Hg: 0.702 0.298 0.250

Summary:
- VASP energy: -5.68 eV per atom

=====

[5]
Here is an optimized crystal structure of PmDy2Mg5 from Alexandria. Energies are from GGA-PBE.

Cell: 8.469 8.469 8.469 Å, 143.70 143.70 52.27°
Element x y z (fractional)
Pm: 0.000 0.000 0.000
Dy: 0.258 0.258 0.000
Dy: 0.742 0.742 0.000
Mg: 0.122 0.622 0.500
Mg: 0.378 0.878 0.500
Mg: 0.500 0.500 0.000
Mg: 0.622 0.122 0.500
Mg: 0.878 0.378 0.500

Summary:
- VASP energy: -2.83 eV per atom

=====

[6]
Here is an optimized crystal structure of ScRuRh from Alexandria. Energies are from GGA-PBE.

Cell: 4.521 4.521 5.355 Å, 90.00 90.00 120.00°
Element x y z (fractional)
Sc: 0.333 0.667 0.250
Sc: 0.667 0.333 0.750
Ru: 0.000 0.000 0.000
Ru: 0.000 0.000 0.500
Rh: 0.333 0.667 0.750
Rh: 0.667 0.333 0.250

Summary:
- VASP energy: -8.02 eV per atom

=====

[7]
Here is an optimized crystal structure of SrI from Alexandria. Energies are from GGA-PBE.

Cell: 4.497 7.876 7.876 Å, 109.29 90.00 90.00°
Element x y z (fractional)
Sr: 0.000 0.000 0.000
Sr: 0.500 0.222 0.618
Sr: 0.500 0.618 0.222
I: 0.000 0.364 0.364
I: 0.000 0.528 0.889
I: 0.000 0.889 0.528

Summary:
- Formation energy (no corrections): -25.2 kcal/mol of atoms
- VASP energy: -2.71 eV per atom

=====

[8]
Here is an optimized crystal structure of LaSm3C from Alexandria. Energies are from GGA-PBE.

Cell: 5.198 5.198 5.198 Å, 90.00 90.00 90.00°
Element x y z (fractional)
La: 0.000 0.000 0.000
Sm: 0.000 0.500 0.500
Sm: 0.500 0.000 0.500
Sm: 0.500 0.500 0.000
C: 0.500 0.500 0.500

Summary:
- VASP energy: -5.60 eV per atom

=====

[9]
Here is an optimized crystal structure of RbPd3Au from Alexandria. Energies are from GGA-PBE.

Cell: 5.085 5.085 5.085 Å, 90.00 90.00 90.00°
Element x y z (fractional)
Rb: 0.000 0.000 0.000
Pd: 0.000 0.000 0.500
Pd: 0.000 0.500 0.000
Pd: 0.500 0.000 0.000
Au: 0.500 0.500 0.500

Summary:
- VASP energy: -2.45 eV per atom

=====

[10]
Here is an optimized crystal structure of TaNbGe4 from Alexandria. Energies are from GGA-PBE.

Cell: 4.911 4.911 6.809 Å, 110.32 110.32 40.56°
Element x y z (fractional)
Ta: 0.000 0.000 0.000
Nb: 0.000 0.000 0.500
Ge: 0.336 0.336 0.168
Ge: 0.336 0.336 0.668
Ge: 0.664 0.664 0.332
Ge: 0.664 0.664 0.832

Summary:
- VASP energy: -6.96 eV per atom

=====

[11]
Here is an optimized crystal structure of AlZnN2F from Alexandria. Energies are from GGA-PBE.

Cell: 3.808 3.808 3.673 Å, 90.00 90.00 90.00°
Element x y z (fractional)
Al: 0.000 0.000 0.000
Zn: 0.500 0.500 0.500
N: 0.000 0.500 0.000
N: 0.500 0.000 0.000
F: 0.000 0.000 0.500

Summary:
- Formation energy (no corrections): -5.1 kcal/mol of atoms
- VASP energy: -4.93 eV per atom

=====

[12]
Here is an optimized crystal structure of ErMg16Al12 from Alexandria. Energies are from GGA-PBE.

Cell: 9.132 9.132 9.132 Å, 109.47 109.47 109.47°
Element x y z (fractional)
Er: 0.000 0.000 0.000
Mg: 0.000 0.000 0.357
Mg: 0.000 0.319 0.604
Mg: 0.000 0.357 0.000
Mg: 0.000 0.604 0.319
Mg: 0.285 0.681 0.681
Mg: 0.319 0.000 0.604
Mg: 0.319 0.604 0.000
Mg: 0.357 0.000 0.000
Mg: 0.396 0.396 0.715
Mg: 0.396 0.715 0.396
Mg: 0.604 0.000 0.319
Mg: 0.604 0.319 0.000
Mg: 0.643 0.643 0.643
Mg: 0.681 0.285 0.681
Mg: 0.681 0.681 0.285
Mg: 0.715 0.396 0.396
Al: 0.000 0.633 0.814
Al: 0.000 0.814 0.633
Al: 0.181 0.367 0.367
Al: 0.186 0.186 0.819
Al: 0.186 0.819 0.186
Al: 0.367 0.181 0.367
Al: 0.367 0.367 0.181
Al: 0.633 0.000 0.814
Al: 0.633 0.814 0.000
Al: 0.814 0.000 0.633
Al: 0.814 0.633 0.000
Al: 0.819 0.186 0.186

Summary:
- VASP energy: -2.66 eV per atom

=====

Number 1: total magnetic moment 0.24 μB/atom. Number 2: total magnetic moment 0.00 μB/atom. Number 3: total magnetic moment 0.00 μB/atom. Number 4: total magnetic moment 0.00 μB/atom. Number 5: total magnetic moment 0.00 μB/atom. Number 6: total magnetic moment 0.07 μB/atom. Number 7: total magnetic moment 0.15 μB/atom. Number 8: total magnetic moment 0.00 μB/atom. Number 9: total magnetic moment 0.00 μB/atom. Number 10: total magnetic moment 0.00 μB/atom. Number 11: total magnetic moment 0.00 μB/atom. Number 12: total magnetic moment 0.00 μB/atom.